[1]
Entry from the Alexandria database: a relaxed structure of CePtRhAu (PBE).

a b c (Å): 3.960 4.185 4.429
angles (deg): 90.00 90.00 90.00
Element x y z (fractional)
Ce 0.000 0.000 0.000
Pt 0.500 0.000 0.500
Rh 0.500 0.500 0.000
Au 0.000 0.500 0.500

Properties
offset from the most stable computed form = 0.00 eV/f.u.
symmetry = Pmmm, No. 47
energy of formation from the pure elements = -0.775 eV per atom


[2]
Entry from the Alexandria database: a relaxed structure of CePtRhAu (PBE).

a b c (Å): 4.745 4.745 4.745
angles (deg): 60.00 60.00 60.00
Element x y z (fractional)
Ce 0.000 0.000 0.000
Pt 0.250 0.250 0.250
Rh 0.750 0.750 0.750
Au 0.500 0.500 0.500

Properties
offset from the most stable computed form = 0.66 eV/f.u.
symmetry = F-43m, No. 216
energy of formation from the pure elements = -0.611 eV per atom


[3]
Entry from the Alexandria database: a relaxed structure of CeScPtAu (PBE).

a b c (Å): 4.966 4.966 4.966
angles (deg): 60.00 60.00 60.00
Element x y z (fractional)
Ce 0.000 0.000 0.000
Sc 0.500 0.500 0.500
Pt 0.750 0.750 0.750
Au 0.250 0.250 0.250

Properties
symmetry = F-43m, No. 216
energy of formation from the pure elements = -0.825 eV per atom


[4]
Entry from the Alexandria database: a relaxed structure of Ce2Si3Pt4Au (PBE).

a b c (Å): 4.106 4.106 10.998
angles (deg): 90.00 90.00 90.00
Element x y z (fractional)
Ce 0.000 0.500 0.249
Ce 0.500 0.000 0.751
Si 0.000 0.000 0.000
Si 0.000 0.500 0.623
Si 0.500 0.000 0.377
Pt 0.000 0.000 0.500
Pt 0.000 0.500 0.836
Pt 0.500 0.000 0.164
Pt 0.500 0.500 0.500
Au 0.500 0.500 0.000

Properties
formation energy without anion corrections = -931 meV per atom
symmetry = P-4m2, No. 115